Computed, not measured: an optimized crystal structure of Re3IrW at the PBE-GGA level of DFT.

Computed properties:
* energy of formation: 2.48 eV per atom
* electronic total energy: -9.348 eV per atom
* polymorph energy (0 for the lowest one): 0.000 eV per atom
* space-group type: Pm-3m (221)
* crystal system: cubic

Structure (POSCAR):
```
Re3IrW
1.0
4.640 0.000 0.000
0.000 4.640 0.000
0.000 0.000 4.640
Re Ir W
3 1 1
Direct
0.000 0.500 0.000
0.000 0.000 0.500
0.500 0.000 0.000
0.000 0.000 0.000
0.500 0.500 0.500
```


Computed, not measured: an optimized crystal structure of LaGeSe2I at the PBE-GGA level of DFT.

Computed properties:
* uncorrected formation energy: -0.584 eV/atom
* electronic total energy: -4.197 eV per atom
* polymorph energy (0 for the lowest one): 0.000 eV per atom
* space-group type: P4/mmm (123)
* crystal system: tetragonal

Structure (POSCAR):
```
LaGeSe2I
1.0
-4.888 -0.505 1.728
1.453 -4.314 2.850
1.120 3.061 4.063
I Ge Se La
1 1 2 1
Direct
0.000 0.500 0.000
0.000 0.000 0.000
0.000 0.000 0.500
0.500 0.000 0.000
0.500 0.500 0.500
```